Entry 1:
Compound: InAuS2
Source: the Alexandria database
Functional: GGA-PBE
Structure: optimized geometry

Cell lengths 4.174, 4.174, 6.976 Å; angles 90.00, 90.00, 120.00 degrees
Sites, in units of the cell vectors:
In 0.000 0.000 0.000
Au 0.667 0.333 0.377
S 0.000 0.000 0.361
S 0.333 0.667 0.865

Output
As for the volume: 105 Å³/f.u. Its size of the total moment is 0.0 μB/cell. The formation energy without anion corrections is -25 kJ/mol of atoms.

***

Entry 2:
Compound: Pr2In3Bi3
Source: the Alexandria database
Functional: GGA-PBE
Structure: optimized geometry

Cell lengths 4.850, 4.983, 9.728 Å; angles 90.00, 90.00, 90.00 degrees
Sites, in units of the cell vectors:
Pr 0.000 0.000 0.249
Pr 0.000 0.000 0.751
In 0.000 0.500 0.500
In 0.500 0.500 0.260
In 0.500 0.500 0.740
Bi 0.000 0.500 0.000
Bi 0.500 0.000 0.000
Bi 0.500 0.000 0.500

Output
As for the volume: 235 Å³/f.u. Its size of the total moment is 0.0 μB/cell.

***

Entry 3:
Compound: Nd2TmIn9
Source: the Alexandria database
Functional: GGA-PBE
Structure: optimized geometry

Cell lengths 4.688, 4.688, 14.026 Å; angles 90.00, 90.00, 90.00 degrees
Sites, in units of the cell vectors:
Nd 0.000 0.000 0.169
Nd 0.000 0.000 0.831
Tm 0.000 0.000 0.500
In 0.000 0.500 0.000
In 0.000 0.500 0.338
In 0.000 0.500 0.662
In 0.500 0.000 0.000
In 0.500 0.000 0.338
In 0.500 0.000 0.662
In 0.500 0.500 0.167
In 0.500 0.500 0.500
In 0.500 0.500 0.833

Output
As for the volume: 308 Å³/f.u. Its size of the total moment is 0.0 μB/cell.

***

Quick rundown of uncorrected energy, same order as above: -15.30 -33.07 -43.88 eV per formula unit